Record 1
Here is a relaxed ScGaSi crystal from Alexandria. Energies are from PBE.

Properties
Space-group type: Cm

Unit cell a=5.7071 b=3.9529 c=9.5964 alpha=90.00 beta=106.40 gamma=90.00
Closest atoms and distances in Å follow each position.
Positions (direct):
Sc: 0.7926 0.0000 0.7188  5 Si 2.75-2.93, 4 Ga 2.77-2.90
Sc: 0.4293 0.0000 0.9959  4 Si 2.75-2.92, 5 Ga 2.76-2.98
Sc: 0.4293 0.5000 0.4959  4 Si 2.75-2.92, 5 Ga 2.76-2.98
Sc: 0.7926 0.5000 0.2188  5 Si 2.75-2.93, 4 Ga 2.77-2.90
Si: 0.9401 0.5000 0.5343  2 Si 2.78, 5 Ga 2.80-3.11, 5 Sc 2.83-2.93
Si: 0.6395 0.0000 0.3729  4 Sc 2.75, 2 Si 2.78, 2 Ga 2.85-2.89
Si: 0.9401 0.0000 0.0343  2 Si 2.78, 5 Ga 2.80-3.11, 5 Sc 2.83-2.93
Si: 0.6395 0.5000 0.8729  4 Sc 2.75, 2 Si 2.78, 2 Ga 2.85-2.89
Ga: 0.2722 0.0000 0.6721  4 Si 2.80-3.12, 3 Ga 2.82-3.05, 5 Sc 2.88-2.98
Ga: 0.2722 0.5000 0.1721  4 Si 2.80-3.12, 3 Ga 2.82-3.05, 5 Sc 2.88-2.98
Ga: 0.1280 0.0000 0.3404  4 Sc 2.76-2.77, 3 Ga 2.82-3.05, 3 Si 2.83-2.89
Ga: 0.1280 0.5000 0.8404  4 Sc 2.76-2.77, 3 Ga 2.82-3.05, 3 Si 2.83-2.89

---

Record 2
Here is a relaxed ScGaSi crystal from Alexandria. Energies are from PBE.

Properties
Space-group type: Cmcm

Unit cell a=4.0297 b=14.4136 c=3.6558 alpha=90.00 beta=90.00 gamma=90.00
Closest atoms and distances in Å follow each position.
Positions (direct):
Si: 0.5000 0.5588 0.2500  2 Si 2.49, 4 Sc 2.76
Si: 0.5000 0.4412 0.7500  2 Si 2.49, 4 Sc 2.76
Si: 0.0000 0.0588 0.2500  2 Si 2.49, 4 Sc 2.76
Si: 0.0000 0.9412 0.7500  2 Si 2.49, 4 Sc 2.76
Ga: 0.5000 0.7393 0.7500  4 Ga 2.74, 4 Sc 2.94-3.06
Ga: 0.0000 0.2393 0.7500  4 Ga 2.74, 4 Sc 2.94-3.06
Ga: 0.0000 0.7607 0.2500  4 Ga 2.74, 4 Sc 2.94-3.06
Ga: 0.5000 0.2607 0.2500  4 Ga 2.74, 4 Sc 2.94-3.06
Sc: 0.0000 0.4092 0.2500  6 Si 2.76-2.95, 4 Ga 2.94-3.06
Sc: 0.5000 0.0908 0.7500  6 Si 2.76-2.95, 4 Ga 2.94-3.06
Sc: 0.5000 0.9092 0.2500  6 Si 2.76-2.95, 4 Ga 2.94-3.06
Sc: 0.0000 0.5908 0.7500  6 Si 2.76-2.95, 4 Ga 2.94-3.06

---

Record 3
Here is a relaxed ScGa3Si crystal from Alexandria. Energies are from PBE.

Properties
ΔE to the lowest computed polymorph, meV per atom: 0.0
Space-group type: Pm-3m

Unit cell a=4.7770 b=4.7770 c=4.7770 alpha=90.00 beta=90.00 gamma=90.00
Closest atoms and distances in Å follow each position.
Positions (direct):
Si: 0.0000 0.0000 0.0000  6 Ga 2.39
Ga: 0.0000 0.5000 0.0000  2 Si 2.39
Ga: 0.0000 0.0000 0.5000  2 Si 2.39
Ga: 0.5000 0.0000 0.0000  2 Si 2.39
Sc: 0.5000 0.5000 0.5000  12 Ga 3.38

---

Record 4
Here is a relaxed Sc4Ga2Si crystal from Alexandria. Energies are from PBE.

Properties
Space-group type: I4/mmm

Unit cell a=4.9463 b=4.9463 c=7.5949 alpha=71.00 beta=71.00 gamma=90.00
Closest atoms and distances in Å follow each position.
Positions (direct):
Sc: 0.1895 0.1895 0.6209  1 Si 2.56, 1 Ga 2.69
Sc: 0.8105 0.8105 0.3791  1 Si 2.56, 1 Ga 2.69
Sc: 0.5000 0.0000 0.0000  2 Si 2.47
Sc: 0.0000 0.5000 0.0000  2 Si 2.47
Ga: 0.6109 0.6109 0.7782  5 Sc 2.69-2.89, 1 Ga 2.99
Ga: 0.3891 0.3891 0.2218  5 Sc 2.69-2.89, 1 Ga 2.99
Si: 0.0000 0.0000 0.0000  6 Sc 2.47-2.56

---

Record 5
Here is a relaxed Sc3Ga3Si crystal from Alexandria. Energies are from PBE.

Properties
Space-group type: Imm2

Unit cell a=3.9492 b=3.8784 c=9.1641 alpha=102.22 beta=102.44 gamma=90.00
Closest atoms and distances in Å follow each position.
Positions (direct):
Si: 0.4327 0.4327 0.8654  3 Ga 2.35-2.45
Ga: 0.1522 0.6522 0.3043  2 Ga 2.47
Ga: 0.5671 0.5671 0.1343  1 Si 2.35, 2 Ga 2.47
Ga: 0.8496 0.3496 0.6992  2 Si 2.45
Sc: 0.3156 0.8156 0.6312  2 Si 2.82, 5 Ga 2.83-2.86
Sc: 0.6882 0.1882 0.3763  7 Ga 2.82-2.87
Sc: 0.9947 0.9947 0.9894  4 Si 2.97, 6 Ga 3.04-3.19

---

Record 6
Here is a relaxed ScGa2Si crystal from Alexandria. Energies are from PBE.

Properties
Space-group type: I-42d

Unit cell a=7.4496 b=7.4496 c=5.9239 alpha=51.04 beta=51.04 gamma=90.00
Closest atoms and distances in Å follow each position.
Positions (direct):
Ga: 0.5816 0.1250 0.2500  2 Si 2.51, 2 Ga 2.79
Ga: 0.1684 0.6250 0.2500  2 Si 2.51, 2 Ga 2.79
Ga: 0.3750 0.4184 0.7500  2 Si 2.51, 2 Ga 2.79
Ga: 0.8750 0.8316 0.7500  2 Si 2.51, 2 Ga 2.79
Sc: 0.7500 0.2500 0.5000  2 Si 2.71, 4 Ga 2.95
Sc: 0.0000 0.0000 0.0000  2 Si 2.71, 4 Ga 2.95
Si: 0.5000 0.5000 0.0000  4 Ga 2.51, 2 Sc 2.71
Si: 0.2500 0.7500 0.5000  4 Ga 2.51, 2 Sc 2.71

---

Record 7
Here is a relaxed Sc8Ga2Si crystal from Alexandria. Energies are from PBE.

Properties
Space-group type: C2/m

Unit cell a=4.6002 b=6.1079 c=9.0456 alpha=104.44 beta=104.73 gamma=90.00
Closest atoms and distances in Å follow each position.
Positions (direct):
Sc: 0.6551 0.9862 0.3103  1 Si 2.74, 3 Ga 2.82-2.89
Sc: 0.9755 0.2229 0.9510  2 Si 2.76, 1 Ga 2.81, 1 Sc 3.06
Sc: 0.7835 0.6832 0.5669  3 Ga 2.86-2.99, 2 Sc 3.07
Sc: 0.4093 0.5411 0.8187  1 Si 2.84, 2 Ga 3.09, 3 Sc 3.13-3.15
Sc: 0.2165 0.3168 0.4331  3 Ga 2.86-2.99, 2 Sc 3.07
Sc: 0.0245 0.7771 0.0490  2 Si 2.76, 1 Ga 2.81, 1 Sc 3.06
Sc: 0.3449 0.0138 0.6897  1 Si 2.74, 3 Ga 2.82-2.89
Sc: 0.5907 0.4589 0.1813  1 Si 2.84, 2 Ga 3.09, 3 Sc 3.13-3.15
Ga: 0.8179 0.2510 0.6358  9 Sc 2.81-3.09
Ga: 0.1821 0.7490 0.3642  9 Sc 2.81-3.09
Si: 0.5000 0.0000 0.0000  8 Sc 2.74-2.84

---

Record 8
Here is a relaxed ScGaSi crystal from Alexandria. Energies are from PBE.

Properties
Space-group type: Cmcm

Unit cell a=3.9427 b=9.5988 c=5.5343 alpha=90.00 beta=90.00 gamma=90.00
Closest atoms and distances in Å follow each position.
Positions (direct):
Ga: 0.5000 0.0000 0.0000  4 Si 2.63, 2 Ga 2.77
Ga: 0.0000 0.5000 0.0000  4 Si 2.63, 2 Ga 2.77
Ga: 0.5000 0.0000 0.5000  4 Si 2.63, 2 Ga 2.77
Ga: 0.0000 0.5000 0.5000  4 Si 2.63, 2 Ga 2.77
Sc: 0.0000 0.8103 0.2500  5 Si 2.75-2.88, 4 Ga 3.02
Sc: 0.0000 0.1897 0.7500  5 Si 2.75-2.88, 4 Ga 3.02
Sc: 0.5000 0.6897 0.7500  5 Si 2.75-2.88, 4 Ga 3.02
Sc: 0.5000 0.3103 0.2500  5 Si 2.75-2.88, 4 Ga 3.02
Si: 0.0000 0.8895 0.7500  4 Ga 2.63, 5 Sc 2.75-2.88
Si: 0.5000 0.6105 0.2500  4 Ga 2.63, 5 Sc 2.75-2.88
Si: 0.5000 0.3895 0.7500  4 Ga 2.63, 5 Sc 2.75-2.88
Si: 0.0000 0.1105 0.2500  4 Ga 2.63, 5 Sc 2.75-2.88

---

Record 9
Here is a relaxed ScGaSi crystal from Alexandria. Energies are from PBE.

Properties
Space-group type: Cmmm

Unit cell a=13.3971 b=3.8495 c=4.0087 alpha=90.00 beta=90.00 gamma=90.00
Closest atoms and distances in Å follow each position.
Positions (direct):
Sc: 0.3479 0.0000 0.5000  4 Ga 2.80-2.86, 6 Si 2.81-2.96
Sc: 0.8479 0.5000 0.5000  4 Ga 2.80-2.86, 6 Si 2.81-2.96
Sc: 0.6521 0.0000 0.5000  4 Ga 2.80-2.86, 6 Si 2.81-2.96
Sc: 0.1521 0.5000 0.5000  4 Ga 2.80-2.86, 6 Si 2.81-2.96
Ga: 0.5000 0.0000 0.0000  4 Ga 2.78, 4 Sc 2.86
Ga: 0.0000 0.0000 0.5000  4 Ga 2.78, 4 Sc 2.80
Ga: 0.0000 0.5000 0.0000  4 Ga 2.78, 4 Sc 2.86
Ga: 0.5000 0.5000 0.5000  4 Ga 2.78, 4 Sc 2.80
Si: 0.1852 0.0000 0.0000  2 Si 2.59, 4 Sc 2.81
Si: 0.8148 0.0000 0.0000  2 Si 2.59, 4 Sc 2.81
Si: 0.6852 0.5000 0.0000  2 Si 2.59, 4 Sc 2.81
Si: 0.3148 0.5000 0.0000  2 Si 2.59, 4 Sc 2.81

---

Record 10
Here is a relaxed ScGaSi crystal from Alexandria. Energies are from PBE.

Properties
Space-group type: Cmcm

Unit cell a=5.5574 b=5.5217 c=7.4179 alpha=70.40 beta=90.00 gamma=90.00
Closest atoms and distances in Å follow each position.
Positions (direct):
Si: 0.0000 0.0000 0.7500  4 Ga 2.69-2.70, 2 Si 2.78, 4 Sc 2.80
Si: 0.5000 0.0000 0.7500  4 Ga 2.69-2.70, 2 Si 2.78, 4 Sc 2.80
Si: 0.5000 0.0000 0.2500  4 Ga 2.69-2.70, 2 Si 2.78, 4 Sc 2.80
Si: 0.0000 0.0000 0.2500  4 Ga 2.69-2.70, 2 Si 2.78, 4 Sc 2.80
Ga: 0.7500 0.7354 0.5666  4 Si 2.69-2.70, 5 Sc 2.79-2.95
Ga: 0.2500 0.2646 0.9334  4 Si 2.69-2.70, 5 Sc 2.79-2.95
Ga: 0.7500 0.7354 0.0666  4 Si 2.69-2.70, 5 Sc 2.79-2.95
Ga: 0.2500 0.2646 0.4334  4 Si 2.69-2.70, 5 Sc 2.79-2.95
Sc: 0.7500 0.3029 0.4240  5 Ga 2.79-2.95, 4 Si 2.80
Sc: 0.2500 0.6971 0.5760  5 Ga 2.79-2.95, 4 Si 2.80
Sc: 0.7500 0.3029 0.9240  5 Ga 2.79-2.95, 4 Si 2.80
Sc: 0.2500 0.6971 0.0760  5 Ga 2.79-2.95, 4 Si 2.80

---

Record-wise energy relative to the elements, uncorrected values, in eV per atom: -0.46 -0.53 0.30 -0.26 -0.59 -0.23 -0.38 -0.50 -0.51 -0.43
Record-wise V values, in Å³ per atom: 17.31 17.69 21.80 23.56 19.12 18.80 21.59 17.45 17.23 17.87